# Na2LiRuF6, PBEsol geometry, DFT meta-GGA SCAN
data_Na2LiRuF6
_chemical_formula_sum 'Na8 Li4 Ru4 F24'
_space_group_name_H-M_alt 'F m -3 m'
_space_group_IT_number 225
_space_group_name_Hall '-F 4 2 3'
_cell_length_a 7.8281
_cell_length_b 7.8281
_cell_length_c 7.8281
_cell_angle_alpha 90.00
_cell_angle_beta 90.00
_cell_angle_gamma 90.00
loop_
_atom_site_label
_atom_site_type_symbol
_atom_site_fract_x
_atom_site_fract_y
_atom_site_fract_z
_atom_site_occupancy
Na1 Na 0.2500 0.2500 0.2500 1
Li1 Li 0.0000 0.0000 0.0000 1
Ru1 Ru 0.0000 0.0000 0.5000 1
F1 F 0.0000 0.0000 0.2477 1
# Total DFT energy (no corrections)   -9.178 eV/atom
# ΔE_f (raw)   -2.49 eV per atom